No. 1
Here is crystalline CuTe2CI at its relaxed geometry from Alexandria. Energies are from GGA-PBEsol.

Results
Total energy in eV per atom: -3.310
Calculated volume in Å³/atom: 21.24
Total moment in μB per cell: 0.00

Cell and atoms, written as CIF:
```
data_CuTe2CI
_chemical_formula_sum 'Cu1 Te2 C1 I1'
_space_group_name_H-M_alt 'P 4/m m m'
_space_group_IT_number 123
_space_group_name_Hall '-P 4 2'
_cell_length_a 4.776
_cell_length_b 4.776
_cell_length_c 4.656
_cell_angle_alpha 90.00
_cell_angle_beta 90.00
_cell_angle_gamma 90.00
loop_
_atom_site_label
_atom_site_type_symbol
_atom_site_fract_x
_atom_site_fract_y
_atom_site_fract_z
Cu1 Cu 0.000 0.000 0.000
Te1 Te 0.000 0.500 0.500
C1 C 0.500 0.500 0.500
I1 I 0.500 0.500 0.000
```



No. 2
Here is crystalline CuTe2CI at its relaxed geometry from Alexandria. Energies are from GGA-PBEsol.

Results
Total energy in eV per atom: -2.828
Calculated volume in Å³/atom: 26.16
Total moment in μB per cell: 1.17

Cell and atoms, written as CIF:
```
data_CuTe2CI
_chemical_formula_sum 'Cu1 Te2 C1 I1'
_space_group_name_H-M_alt 'P 4/m m m'
_space_group_IT_number 123
_space_group_name_Hall '-P 4 2'
_cell_length_a 5.045
_cell_length_b 5.045
_cell_length_c 5.138
_cell_angle_alpha 90.00
_cell_angle_beta 90.00
_cell_angle_gamma 90.00
loop_
_atom_site_label
_atom_site_type_symbol
_atom_site_fract_x
_atom_site_fract_y
_atom_site_fract_z
Cu1 Cu 0.000 0.000 0.000
Te1 Te 0.000 0.500 0.000
C1 C 0.500 0.500 0.500
I1 I 0.000 0.000 0.500
```



No. 3
Here is crystalline In2CuNiC at its relaxed geometry from Alexandria. Energies are from GGA-PBEsol.

Results
Total energy in eV per atom: -4.514
Calculated volume in Å³/atom: 17.17
Total moment in μB per cell: 0.00
Formation energy in eV/atom: 0.7064

Cell and atoms, written as CIF:
```
data_In2CuNiC
_chemical_formula_sum 'In2 Cu1 Ni1 C1'
_space_group_name_H-M_alt 'P 4/m m m'
_space_group_IT_number 123
_space_group_name_Hall '-P 4 2'
_cell_length_a 4.966
_cell_length_b 4.966
_cell_length_c 3.480
_cell_angle_alpha 90.00
_cell_angle_beta 90.00
_cell_angle_gamma 90.00
loop_
_atom_site_label
_atom_site_type_symbol
_atom_site_fract_x
_atom_site_fract_y
_atom_site_fract_z
In1 In 0.000 0.500 0.000
Cu1 Cu 0.000 0.000 0.500
Ni1 Ni 0.500 0.500 0.000
C1 C 0.500 0.500 0.500
```



No. 4
Here is crystalline In2CuPtC at its relaxed geometry from Alexandria. Energies are from GGA-PBEsol.

Results
Total energy in eV per atom: -4.608
Calculated volume in Å³/atom: 21.02
Total moment in μB per cell: 0.00
Formation energy in eV/atom: 0.7738

Cell and atoms, written as CIF:
```
data_In2CuPtC
_chemical_formula_sum 'In2 Cu1 Pt1 C1'
_space_group_name_H-M_alt 'P 4/m m m'
_space_group_IT_number 123
_space_group_name_Hall '-P 4 2'
_cell_length_a 5.300
_cell_length_b 5.300
_cell_length_c 3.743
_cell_angle_alpha 90.00
_cell_angle_beta 90.00
_cell_angle_gamma 90.00
loop_
_atom_site_label
_atom_site_type_symbol
_atom_site_fract_x
_atom_site_fract_y
_atom_site_fract_z
In1 In 0.000 0.500 0.000
Cu1 Cu 0.000 0.000 0.500
Pt1 Pt 0.500 0.500 0.000
C1 C 0.500 0.500 0.500
```